Record 1
DFT (GGA-PBE) results for an optimized crystal structure of BaCa3P.

Geometry as CIF:
```
data_BaCa3P
_chemical_formula_sum 'Ba1 Ca3 P1'
_cell_length_a 5.775
_cell_length_b 5.775
_cell_length_c 5.775
_cell_angle_alpha 90.00
_cell_angle_beta 90.00
_cell_angle_gamma 90.00
_space_group_name_H-M_alt 'P m -3 m'
_space_group_IT_number 221
_space_group_name_Hall '-P 4 2 3'
loop_
_atom_site_label
_atom_site_type_symbol
_atom_site_fract_x
_atom_site_fract_y
_atom_site_fract_z
_atom_site_occupancy
Ba1 Ba 0.000 0.000 0.000 1
Ca1 Ca 0.000 0.000 0.500 1
P1 P 0.500 0.500 0.500 1
```

Properties
energy above the lowest structure with this stoichiometry = 1698 meV/atom
energy of formation from the pure elements = 1266 meV per atom

***

Record 2
DFT (GGA-PBE) results for an optimized crystal structure of BaCa2P2.

Geometry as CIF:
```
data_BaCa2P2
_chemical_formula_sum 'Ba2 Ca4 P4'
_cell_length_a 4.687
_cell_length_b 4.687
_cell_length_c 13.878
_cell_angle_alpha 90.00
_cell_angle_beta 90.00
_cell_angle_gamma 90.00
_space_group_name_H-M_alt 'I 4/m m m'
_space_group_IT_number 139
_space_group_name_Hall '-I 4 2'
loop_
_atom_site_label
_atom_site_type_symbol
_atom_site_fract_x
_atom_site_fract_y
_atom_site_fract_z
_atom_site_occupancy
Ba1 Ba 0.000 0.000 0.000 1
Ca1 Ca 0.000 0.500 0.250 1
P1 P 0.000 0.000 0.366 1
```

Properties
energy above the lowest structure with this stoichiometry = 186 meV/atom
energy of formation from the pure elements = -944 meV per atom

***

Record 3
DFT (GGA-PBE) results for an optimized crystal structure of BaCa2P2.

Geometry as CIF:
```
data_BaCa2P2
_chemical_formula_sum 'Ba2 Ca4 P4'
_cell_length_a 8.480
_cell_length_b 8.480
_cell_length_c 3.820
_cell_angle_alpha 90.00
_cell_angle_beta 90.00
_cell_angle_gamma 90.00
_space_group_name_H-M_alt 'P 4/m b m'
_space_group_IT_number 127
_space_group_name_Hall '-P 4 2ab'
loop_
_atom_site_label
_atom_site_type_symbol
_atom_site_fract_x
_atom_site_fract_y
_atom_site_fract_z
_atom_site_occupancy
Ba1 Ba 0.000 0.000 0.000 1
Ca1 Ca 0.136 0.364 0.500 1
P1 P 0.162 0.662 0.000 1
```

Properties
energy above the lowest structure with this stoichiometry = 306 meV/atom
energy of formation from the pure elements = -824 meV per atom

***

Record 4
DFT (GGA-PBE) results for an optimized crystal structure of BaCa2P.

Geometry as CIF:
```
data_BaCa2P
_chemical_formula_sum 'Ba1 Ca2 P1'
_cell_length_a 4.938
_cell_length_b 4.938
_cell_length_c 5.201
_cell_angle_alpha 90.00
_cell_angle_beta 90.00
_cell_angle_gamma 90.00
_space_group_name_H-M_alt 'P 4/m m m'
_space_group_IT_number 123
_space_group_name_Hall '-P 4 2'
loop_
_atom_site_label
_atom_site_type_symbol
_atom_site_fract_x
_atom_site_fract_y
_atom_site_fract_z
_atom_site_occupancy
Ba1 Ba 0.000 0.000 0.000 1
Ca1 Ca 0.000 0.500 0.500 1
P1 P 0.500 0.500 0.000 1
```

Properties
energy of formation from the pure elements = -255 meV per atom

***

Record 5
DFT (GGA-PBE) results for an optimized crystal structure of BaCa3P.

Geometry as CIF:
```
data_BaCa3P
_chemical_formula_sum 'Ba1 Ca3 P1'
_cell_length_a 5.780
_cell_length_b 5.780
_cell_length_c 5.780
_cell_angle_alpha 90.00
_cell_angle_beta 90.00
_cell_angle_gamma 90.00
_space_group_name_H-M_alt 'P m -3 m'
_space_group_IT_number 221
_space_group_name_Hall '-P 4 2 3'
loop_
_atom_site_label
_atom_site_type_symbol
_atom_site_fract_x
_atom_site_fract_y
_atom_site_fract_z
_atom_site_occupancy
Ba1 Ba 0.000 0.000 0.000 1
Ca1 Ca 0.000 0.500 0.500 1
P1 P 0.500 0.500 0.500 1
```

Properties
energy above the lowest structure with this stoichiometry = 0 meV/atom
energy of formation from the pure elements = -432 meV per atom

***

Record 6
DFT (GGA-PBE) results for an optimized crystal structure of Ba2CaP2.

Geometry as CIF:
```
data_Ba2CaP2
_chemical_formula_sum 'Ba4 Ca2 P4'
_cell_length_a 8.477
_cell_length_b 8.477
_cell_length_c 4.408
_cell_angle_alpha 90.00
_cell_angle_beta 90.00
_cell_angle_gamma 90.00
_space_group_name_H-M_alt 'P 4/m b m'
_space_group_IT_number 127
_space_group_name_Hall '-P 4 2ab'
loop_
_atom_site_label
_atom_site_type_symbol
_atom_site_fract_x
_atom_site_fract_y
_atom_site_fract_z
_atom_site_occupancy
Ba1 Ba 0.136 0.364 0.000 1
Ca1 Ca 0.000 0.000 0.500 1
P1 P 0.174 0.674 0.500 1
```

Properties
energy above the lowest structure with this stoichiometry = 194 meV/atom
energy of formation from the pure elements = -868 meV per atom

***

Record 7
DFT (GGA-PBE) results for an optimized crystal structure of BaCa2P.

Geometry as CIF:
```
data_BaCa2P
_chemical_formula_sum 'Ba2 Ca4 P2'
_cell_length_a 3.853
_cell_length_b 5.769
_cell_length_c 12.839
_cell_angle_alpha 90.00
_cell_angle_beta 90.00
_cell_angle_gamma 90.00
_space_group_name_H-M_alt 'I m m m'
_space_group_IT_number 71
_space_group_name_Hall '-I 2 2'
loop_
_atom_site_label
_atom_site_type_symbol
_atom_site_fract_x
_atom_site_fract_y
_atom_site_fract_z
_atom_site_occupancy
Ba1 Ba 0.000 0.000 0.000 1
Ca1 Ca 0.000 0.500 0.168 1
P1 P 0.000 0.000 0.500 1
```

Properties
energy of formation from the pure elements = -576 meV per atom

***

Record 8
DFT (GGA-PBE) results for an optimized crystal structure of BaCa2P.

Geometry as CIF:
```
data_BaCa2P
_chemical_formula_sum 'Ba2 Ca4 P2'
_cell_length_a 3.802
_cell_length_b 4.606
_cell_length_c 16.447
_cell_angle_alpha 90.00
_cell_angle_beta 90.00
_cell_angle_gamma 90.00
_space_group_name_H-M_alt 'I m m 2'
_space_group_IT_number 44
_space_group_name_Hall 'I 2 -2'
loop_
_atom_site_label
_atom_site_type_symbol
_atom_site_fract_x
_atom_site_fract_y
_atom_site_fract_z
_atom_site_occupancy
Ba1 Ba 0.000 0.000 0.000 1
Ca1 Ca 0.000 0.000 0.688 1
Ca2 Ca 0.000 0.500 0.834 1
P1 P 0.000 0.500 0.331 1
```

Properties
energy of formation from the pure elements = -511 meV per atom

***

Record 9
DFT (GGA-PBE) results for an optimized crystal structure of BaCa2P.

Geometry as CIF:
```
data_BaCa2P
_chemical_formula_sum 'Ba4 Ca8 P4'
_cell_length_a 8.043
_cell_length_b 8.043
_cell_length_c 8.043
_cell_angle_alpha 90.00
_cell_angle_beta 90.00
_cell_angle_gamma 90.00
_space_group_name_H-M_alt 'F -4 3 m'
_space_group_IT_number 216
_space_group_name_Hall 'F -4 2 3'
loop_
_atom_site_label
_atom_site_type_symbol
_atom_site_fract_x
_atom_site_fract_y
_atom_site_fract_z
_atom_site_occupancy
Ba1 Ba 0.000 0.000 0.000 1
Ca1 Ca 0.000 0.000 0.500 1
Ca2 Ca 0.250 0.250 0.250 1
P1 P 0.250 0.250 0.750 1
```

Properties
energy of formation from the pure elements = -57 meV per atom

***

Record 10
DFT (GGA-PBE) results for an optimized crystal structure of BaCa2P.

Geometry as CIF:
```
data_BaCa2P
_chemical_formula_sum 'Ba2 Ca4 P2'
_cell_length_a 10.090
_cell_length_b 4.030
_cell_length_c 8.047
_cell_angle_alpha 90.00
_cell_angle_beta 109.99
_cell_angle_gamma 90.00
_space_group_name_H-M_alt 'C 1 m 1'
_space_group_IT_number 8
_space_group_name_Hall 'C -2y'
loop_
_atom_site_label
_atom_site_type_symbol
_atom_site_fract_x
_atom_site_fract_y
_atom_site_fract_z
_atom_site_occupancy
Ba1 Ba 0.000 0.000 0.000 1
Ca1 Ca 0.162 0.000 0.612 1
Ca2 Ca 0.349 0.000 0.339 1
P1 P 0.137 0.500 0.338 1
```

Properties
energy of formation from the pure elements = -528 meV per atom

***

Record 11
DFT (GGA-PBE) results for an optimized crystal structure of BaCa2P.

Geometry as CIF:
```
data_BaCa2P
_chemical_formula_sum 'Ba1 Ca2 P1'
_cell_length_a 3.904
_cell_length_b 3.904
_cell_length_c 9.283
_cell_angle_alpha 90.00
_cell_angle_beta 90.00
_cell_angle_gamma 90.00
_space_group_name_H-M_alt 'P 4 m m'
_space_group_IT_number 99
_space_group_name_Hall 'P 4 -2'
loop_
_atom_site_label
_atom_site_type_symbol
_atom_site_fract_x
_atom_site_fract_y
_atom_site_fract_z
_atom_site_occupancy
Ba1 Ba 0.000 0.000 0.000 1
Ca1 Ca 0.000 0.000 0.660 1
Ca2 Ca 0.500 0.500 0.368 1
P1 P 0.500 0.500 0.785 1
```

Properties
energy of formation from the pure elements = -480 meV per atom

***

Record 12
DFT (GGA-PBE) results for an optimized crystal structure of BaCa2P.

Geometry as CIF:
```
data_BaCa2P
_chemical_formula_sum 'Ba2 Ca4 P2'
_cell_length_a 4.802
_cell_length_b 4.802
_cell_length_c 10.750
_cell_angle_alpha 90.00
_cell_angle_beta 90.00
_cell_angle_gamma 90.00
_space_group_name_H-M_alt 'I -4 m 2'
_space_group_IT_number 119
_space_group_name_Hall 'I -4 -2'
loop_
_atom_site_label
_atom_site_type_symbol
_atom_site_fract_x
_atom_site_fract_y
_atom_site_fract_z
_atom_site_occupancy
Ba1 Ba 0.000 0.000 0.000 1
Ca1 Ca 0.000 0.000 0.500 1
Ca2 Ca 0.000 0.500 0.750 1
P1 P 0.000 0.500 0.250 1
```

Properties
energy of formation from the pure elements = -171 meV per atom

***

The records above give, respectively, density of states at the Fermi level values of 7.379, 0.000, 1.449, 3.352, 4.152, 0.814, 4.832, 6.121, 15.412, 5.518, 2.401, 7.141 states/eV/cell.
The records above give, respectively, total magnetization values of 1.7, 0.0, 0.0, 0.0, 0.0, 0.0, 0.0, 0.0, 0.0, 0.8, 0.7, 0.0 μB/f.u..